# AlTl2As, optimized geometry, DFT GGA-PBE
data_AlTl2As
_chemical_formula_sum 'Al3 Tl6 As3'
_cell_length_a 3.2785
_cell_length_b 3.2785
_cell_length_c 32.0844
_cell_angle_alpha 90.00
_cell_angle_beta 90.00
_cell_angle_gamma 120.00
_symmetry_space_group_name_H-M 'R -3 m'
_symmetry_Int_Tables_number 166
_symmetry_space_group_name_Hall '-R 3 2"'
loop_
_atom_site_label
_atom_site_type_symbol
_atom_site_fract_x
_atom_site_fract_y
_atom_site_fract_z
Al1 Al 0.0000 0.0000 0.0000
Tl1 Tl 0.0000 0.0000 0.2487
As1 As 0.0000 0.0000 0.5000
# * offset from the most stable computed form: 361 meV per atom
# * E_form: 7.09 kcal/mol of atoms
# * E_tot: -35.7 eV per cell